Here is a relaxed structure of NdCuAg from Alexandria. Energies are from PBE.

```
data_NdCuAg
_chemical_formula_sum 'Nd6 Cu6 Ag6'
_cell_length_a 13.0802
_cell_length_b 3.9783
_cell_length_c 7.4694
_cell_angle_alpha 90.00
_cell_angle_beta 90.00
_cell_angle_gamma 90.00
_symmetry_space_group_name_H-M 'P 1'
_symmetry_Int_Tables_number 1
loop_
_symmetry_equiv_pos_as_xyz
'x,y,z'
loop_
_atom_site_label
_atom_site_type_symbol
_atom_site_fract_x
_atom_site_fract_y
_atom_site_fract_z
Nd1 Nd 0.0447 0.0000 0.2499
Nd2 Nd 0.2500 0.0000 0.6483
Nd3 Nd 0.4553 0.0000 0.2499
Nd4 Nd 0.5447 0.0000 0.7501
Nd5 Nd 0.7500 0.0000 0.3517
Nd6 Nd 0.9553 0.0000 0.7501
Cu1 Cu 0.0900 0.5000 0.5515
Cu2 Cu 0.2500 0.0000 0.0553
Cu3 Cu 0.4100 0.5000 0.5515
Cu4 Cu 0.5900 0.5000 0.4485
Cu5 Cu 0.7500 0.0000 0.9447
Cu6 Cu 0.9100 0.5000 0.4485
Ag1 Ag 0.1260 0.5000 0.9257
Ag2 Ag 0.2500 0.5000 0.2999
Ag3 Ag 0.3740 0.5000 0.9257
Ag4 Ag 0.6260 0.5000 0.0743
Ag5 Ag 0.7500 0.5000 0.7001
Ag6 Ag 0.8740 0.5000 0.0743
```

**SG**: Pmma (51)
**Calculated formation energy**: -0.220 eV/atom
**DOS(E_F)**: 11.56 states/eV per cell
**Energy relative to the lowest polymorph listed for this composition**: 12.8 meV per atom
**Calculated density**: 8.09 g/cm³

---

Here is a relaxed structure of HoTeP from Alexandria. Energies are from PBE.

```
data_HoTeP
_chemical_formula_sum 'Ho2 Te2 P2'
_cell_length_a 4.0589
_cell_length_b 3.9439
_cell_length_c 9.0191
_cell_angle_alpha 90.00
_cell_angle_beta 92.87
_cell_angle_gamma 90.00
_symmetry_space_group_name_H-M 'P 1'
_symmetry_Int_Tables_number 1
loop_
_symmetry_equiv_pos_as_xyz
'x,y,z'
loop_
_atom_site_label
_atom_site_type_symbol
_atom_site_fract_x
_atom_site_fract_y
_atom_site_fract_z
Ho1 Ho 0.2247 0.2500 0.2413
Ho2 Ho 0.7753 0.7500 0.7587
Te1 Te 0.2573 0.2500 0.6280
Te2 Te 0.7427 0.7500 0.3720
P1 P 0.3339 0.7500 0.9906
P2 P 0.6661 0.2500 0.0094
```

**ΔE_f (raw)**: -1.08 eV per atom
**SG**: P2_1/m (11)
**DOS(E_F)**: 2.43 states/eV per cell
**Calculated density**: 7.45 g/cm³

---

Here is a relaxed structure of Y2TcNi2 from Alexandria. Energies are from PBE.

```
data_Y2TcNi2
_chemical_formula_sum 'Y4 Tc2 Ni4'
_cell_length_a 6.7241
_cell_length_b 6.7241
_cell_length_c 4.0938
_cell_angle_alpha 90.00
_cell_angle_beta 90.00
_cell_angle_gamma 90.00
_symmetry_space_group_name_H-M 'P 1'
_symmetry_Int_Tables_number 1
loop_
_symmetry_equiv_pos_as_xyz
'x,y,z'
loop_
_atom_site_label
_atom_site_type_symbol
_atom_site_fract_x
_atom_site_fract_y
_atom_site_fract_z
Y1 Y 0.1813 0.3187 0.0000
Y2 Y 0.3187 0.8187 0.0000
Y3 Y 0.6813 0.1813 0.0000
Y4 Y 0.8187 0.6813 0.0000
Tc1 Tc 0.0000 0.0000 0.5000
Tc2 Tc 0.5000 0.5000 0.5000
Ni1 Ni 0.1253 0.6253 0.5000
Ni2 Ni 0.3747 0.1253 0.5000
Ni3 Ni 0.6253 0.8747 0.5000
Ni4 Ni 0.8747 0.3747 0.5000
```

**SG**: P4/mbm (127)
**Calculated formation energy**: -0.127 eV/atom
**DOS(E_F)**: 11.04 states/eV per cell
**Calculated density**: 7.05 g/cm³

---

Here is a relaxed structure of Dy2YCu2 from Alexandria. Energies are from PBE.

```
data_Dy2YCu2
_chemical_formula_sum 'Dy4 Y2 Cu4'
_cell_length_a 3.5051
_cell_length_b 5.0656
_cell_length_c 13.1080
_cell_angle_alpha 90.00
_cell_angle_beta 97.66
_cell_angle_gamma 90.00
_symmetry_space_group_name_H-M 'P 1'
_symmetry_Int_Tables_number 1
loop_
_symmetry_equiv_pos_as_xyz
'x,y,z'
loop_
_atom_site_label
_atom_site_type_symbol
_atom_site_fract_x
_atom_site_fract_y
_atom_site_fract_z
Dy1 Dy 0.0468 0.2500 0.0936
Dy2 Dy 0.2302 0.2500 0.4598
Dy3 Dy 0.7698 0.7500 0.5402
Dy4 Dy 0.9532 0.7500 0.9064
Y1 Y 0.1415 0.7500 0.2824
Y2 Y 0.8585 0.2500 0.7176
Cu1 Cu 0.3591 0.7500 0.7193
Cu2 Cu 0.4553 0.2500 0.9105
Cu3 Cu 0.5447 0.7500 0.0895
Cu4 Cu 0.6409 0.2500 0.2807
```

**SG**: P2_1/m (11)
**Calculated formation energy**: -0.169 eV/atom
**DOS(E_F)**: 7.96 states/eV per cell
**Energy relative to the lowest polymorph listed for this composition**: 0.0 meV per atom
**Calculated density**: 7.79 g/cm³

---

Here is a relaxed structure of GdThTl2 from Alexandria. Energies are from PBE.

```
data_GdThTl2
_chemical_formula_sum 'Gd3 Th3 Tl6'
_cell_length_a 3.5888
_cell_length_b 3.5888
_cell_length_c 32.0169
_cell_angle_alpha 90.00
_cell_angle_beta 90.00
_cell_angle_gamma 120.00
_symmetry_space_group_name_H-M 'P 1'
_symmetry_Int_Tables_number 1
loop_
_symmetry_equiv_pos_as_xyz
'x,y,z'
loop_
_atom_site_label
_atom_site_type_symbol
_atom_site_fract_x
_atom_site_fract_y
_atom_site_fract_z
Gd1 Gd 0.0000 0.0000 0.0000
Gd2 Gd 0.3333 0.6667 0.6667
Gd3 Gd 0.6667 0.3333 0.3333
Th1 Th 0.0000 0.0000 0.5000
Th2 Th 0.3333 0.6667 0.1667
Th3 Th 0.6667 0.3333 0.8333
Tl1 Tl 0.0000 0.0000 0.2527
Tl2 Tl 0.0000 0.0000 0.7473
Tl3 Tl 0.3333 0.6667 0.4139
Tl4 Tl 0.3333 0.6667 0.9194
Tl5 Tl 0.6667 0.3333 0.0806
Tl6 Tl 0.6667 0.3333 0.5861
```

**SG**: R-3m (166)
**Calculated formation energy**: -0.152 eV/atom
**DOS(E_F)**: 11.75 states/eV per cell
**Energy relative to the lowest polymorph listed for this composition**: 113.0 meV per atom
**Calculated density**: 11.13 g/cm³

---

Here is a relaxed structure of Tl3Hg9Au2 from Alexandria. Energies are from PBE.

```
data_Tl3Hg9Au2
_chemical_formula_sum 'Tl3 Hg9 Au2'
_cell_length_a 9.4690
_cell_length_b 9.4690
_cell_length_c 9.4690
_cell_angle_alpha 152.36
_cell_angle_beta 94.98
_cell_angle_gamma 91.56
_symmetry_space_group_name_H-M 'P 1'
_symmetry_Int_Tables_number 1
loop_
_symmetry_equiv_pos_as_xyz
'x,y,z'
loop_
_atom_site_label
_atom_site_type_symbol
_atom_site_fract_x
_atom_site_fract_y
_atom_site_fract_z
Tl1 Tl 0.0000 0.0000 0.0000
Tl2 Tl 0.2939 0.0000 0.2939
Tl3 Tl 0.7061 0.0000 0.7061
Hg1 Hg 0.0068 0.6355 0.3713
Hg2 Hg 0.1511 0.2944 0.8568
Hg3 Hg 0.2642 0.6355 0.6287
Hg4 Hg 0.4376 0.2944 0.1432
Hg5 Hg 0.5000 0.5000 0.0000
Hg6 Hg 0.5624 0.7056 0.8568
Hg7 Hg 0.7358 0.3645 0.3713
Hg8 Hg 0.8489 0.7056 0.1432
Hg9 Hg 0.9932 0.3645 0.6287
Au1 Au 0.3480 0.8480 0.5000
Au2 Au 0.6520 0.1520 0.5000
```

**SG**: Immm (71)
**Calculated formation energy**: 0.014 eV/atom
**DOS(E_F)**: 4.91 states/eV per cell
**Calculated density**: 12.22 g/cm³

---

Here is a relaxed structure of Tl2InMo from Alexandria. Energies are from PBE.

```
data_Tl2InMo
_chemical_formula_sum 'Tl2 In1 Mo1'
_cell_length_a 3.1610
_cell_length_b 4.9853
_cell_length_c 5.9942
_cell_angle_alpha 90.00
_cell_angle_beta 104.70
_cell_angle_gamma 90.00
_symmetry_space_group_name_H-M 'P 1'
_symmetry_Int_Tables_number 1
loop_
_symmetry_equiv_pos_as_xyz
'x,y,z'
loop_
_atom_site_label
_atom_site_type_symbol
_atom_site_fract_x
_atom_site_fract_y
_atom_site_fract_z
Tl1 Tl 0.0000 0.0000 0.0000
Tl2 Tl 0.4023 0.5000 0.7974
In1 In 0.6774 0.5000 0.3432
Mo1 Mo 0.2495 0.0000 0.5039
```

**SG**: Pm (6)
**Calculated formation energy**: 0.588 eV/atom
**DOS(E_F)**: 3.12 states/eV per cell
**Energy relative to the lowest polymorph listed for this composition**: 140.6 meV per atom
**Calculated density**: 11.26 g/cm³

---

Here is a relaxed structure of Y2MgCd2 from Alexandria. Energies are from PBE.

```
data_Y2MgCd2
_chemical_formula_sum 'Y4 Mg2 Cd4'
_cell_length_a 7.8488
_cell_length_b 7.8488
_cell_length_c 4.3319
_cell_angle_alpha 90.00
_cell_angle_beta 90.00
_cell_angle_gamma 90.00
_symmetry_space_group_name_H-M 'P 1'
_symmetry_Int_Tables_number 1
loop_
_symmetry_equiv_pos_as_xyz
'x,y,z'
loop_
_atom_site_label
_atom_site_type_symbol
_atom_site_fract_x
_atom_site_fract_y
_atom_site_fract_z
Y1 Y 0.1666 0.3334 0.0000
Y2 Y 0.3334 0.8334 0.0000
Y3 Y 0.6666 0.1666 0.0000
Y4 Y 0.8334 0.6666 0.0000
Mg1 Mg 0.0000 0.0000 0.5000
Mg2 Mg 0.5000 0.5000 0.5000
Cd1 Cd 0.1333 0.6333 0.5000
Cd2 Cd 0.3667 0.1333 0.5000
Cd3 Cd 0.6333 0.8667 0.5000
Cd4 Cd 0.8667 0.3667 0.5000
```

**SG**: P4/mbm (127)
**Calculated formation energy**: -0.251 eV/atom
**DOS(E_F)**: 9.64 states/eV per cell
**Energy relative to the lowest polymorph listed for this composition**: 0.0 meV per atom
**Calculated density**: 5.31 g/cm³

---

Here is a relaxed structure of CsTlO2F from Alexandria. Energies are from PBE.

```
data_CsTlO2F
_chemical_formula_sum 'Cs1 Tl1 O2 F1'
_cell_length_a 4.3611
_cell_length_b 4.3611
_cell_length_c 4.9561
_cell_angle_alpha 90.00
_cell_angle_beta 90.00
_cell_angle_gamma 90.00
_symmetry_space_group_name_H-M 'P 1'
_symmetry_Int_Tables_number 1
loop_
_symmetry_equiv_pos_as_xyz
'x,y,z'
loop_
_atom_site_label
_atom_site_type_symbol
_atom_site_fract_x
_atom_site_fract_y
_atom_site_fract_z
Cs1 Cs 0.0000 0.0000 0.0000
Tl1 Tl 0.5000 0.5000 0.5000
O1 O 0.0000 0.5000 0.5000
O2 O 0.5000 0.0000 0.5000
F1 F 0.5000 0.5000 0.0000
```

**ΔE_f (raw)**: -1.07 eV per atom
**SG**: P4/mmm (123)
**DOS(E_F)**: 3.42 states/eV per cell
**Calculated density**: 6.84 g/cm³

---

Here is a relaxed structure of Ba3MgGe from Alexandria. Energies are from PBE.

```
data_Ba3MgGe
_chemical_formula_sum 'Ba3 Mg1 Ge1'
_cell_length_a 6.4607
_cell_length_b 6.4607
_cell_length_c 6.4607
_cell_angle_alpha 90.00
_cell_angle_beta 90.00
_cell_angle_gamma 90.00
_symmetry_space_group_name_H-M 'P 1'
_symmetry_Int_Tables_number 1
loop_
_symmetry_equiv_pos_as_xyz
'x,y,z'
loop_
_atom_site_label
_atom_site_type_symbol
_atom_site_fract_x
_atom_site_fract_y
_atom_site_fract_z
Ba1 Ba 0.0000 0.0000 0.5000
Ba2 Ba 0.0000 0.5000 0.0000
Ba3 Ba 0.5000 0.0000 0.0000
Mg1 Mg 0.5000 0.5000 0.5000
Ge1 Ge 0.0000 0.0000 0.0000
```

**SG**: Pm-3m (221)
**Calculated formation energy**: -0.062 eV/atom
**DOS(E_F)**: 7.09 states/eV per cell
**Energy relative to the lowest polymorph listed for this composition**: 0.0 meV per atom
**Calculated density**: 3.13 g/cm³

---

Here is a relaxed structure of Ac12Cd2In5 from Alexandria. Energies are from PBE.

```
data_Ac12Cd2In5
_chemical_formula_sum 'Ac12 Cd2 In5'
_cell_length_a 10.3649
_cell_length_b 10.3649
_cell_length_c 9.8276
_cell_angle_alpha 94.64
_cell_angle_beta 94.64
_cell_angle_gamma 44.68
_symmetry_space_group_name_H-M 'P 1'
_symmetry_Int_Tables_number 1
loop_
_symmetry_equiv_pos_as_xyz
'x,y,z'
loop_
_atom_site_label
_atom_site_type_symbol
_atom_site_fract_x
_atom_site_fract_y
_atom_site_fract_z
Ac1 Ac 0.0024 0.0024 0.3095
Ac2 Ac 0.0905 0.5834 0.0657
Ac3 Ac 0.1015 0.5909 0.4900
Ac4 Ac 0.4091 0.8985 0.5100
Ac5 Ac 0.4166 0.9095 0.9343
Ac6 Ac 0.4590 0.4590 0.8096
Ac7 Ac 0.5410 0.5410 0.1904
Ac8 Ac 0.5834 0.0905 0.0657
Ac9 Ac 0.5909 0.1015 0.4900
Ac10 Ac 0.8985 0.4091 0.5100
Ac11 Ac 0.9095 0.4166 0.9343
Ac12 Ac 0.9976 0.9976 0.6905
Cd1 Cd 0.1732 0.8268 0.0000
Cd2 Cd 0.8268 0.1732 0.0000
In1 In 0.2088 0.2088 0.2436
In2 In 0.2724 0.2724 0.7514
In3 In 0.5000 0.5000 0.5000
In4 In 0.7276 0.7276 0.2486
In5 In 0.7912 0.7912 0.7564
```

**SG**: C2/m (12)
**Calculated formation energy**: -0.151 eV/atom
**DOS(E_F)**: 18.14 states/eV per cell
**Calculated density**: 7.91 g/cm³

---

Here is a relaxed structure of K4HgSb from Alexandria. Energies are from PBE.

```
data_K4HgSb
_chemical_formula_sum 'K4 Hg1 Sb1'
_cell_length_a 7.0756
_cell_length_b 7.0756
_cell_length_c 7.0756
_cell_angle_alpha 60.00
_cell_angle_beta 60.00
_cell_angle_gamma 60.00
_symmetry_space_group_name_H-M 'P 1'
_symmetry_Int_Tables_number 1
loop_
_symmetry_equiv_pos_as_xyz
'x,y,z'
loop_
_atom_site_label
_atom_site_type_symbol
_atom_site_fract_x
_atom_site_fract_y
_atom_site_fract_z
K1 K 0.1235 0.1235 0.1235
K2 K 0.1235 0.1235 0.6294
K3 K 0.1235 0.6294 0.1235
K4 K 0.6294 0.1235 0.1235
Hg1 Hg 0.5000 0.5000 0.5000
Sb1 Sb 0.7500 0.7500 0.7500
```

**ΔE_f (raw)**: 0.06 eV per atom
**SG**: F-43m (216)
**DOS(E_F)**: 1.95 states/eV per cell
**Energy relative to the lowest polymorph listed for this composition**: 325.9 meV per atom
**Calculated density**: 3.17 g/cm³